No. 1
The following is a PBE calculation of crystalline NdScZn4 at its relaxed geometry, from Alexandria via LeMat-Bulk.

Computed properties:
* DOS(E_F): 2.87 states/eV per cell
* space group: F-43m
* density: 6.6 g cm⁻³
* final energy: -18.0 eV for the cell shown
* formation energy: -1.85 eV/f.u.
* magnetic moment: 0.00 μB per formula unit

Lattice parameters (Å, degrees): 5.424 5.424 5.424 60.00 60.00 60.00
Atoms (fractional coordinates):
Zn 0.626 0.626 0.123
Zn 0.123 0.626 0.626
Nd 0.250 0.250 0.250
Zn 0.626 0.123 0.626
Sc 0.000 0.000 0.000
Zn 0.626 0.626 0.626

No. 2
The following is a PBE calculation of crystalline Nd2ScZn9 at its relaxed geometry, from Alexandria via LeMat-Bulk.

Computed properties:
* DOS(E_F): 6.17 states/eV per cell
* space group: R-3m
* density: 6.9 g cm⁻³
* final energy: -30.3 eV for the cell shown
* formation energy: -2.95 eV/f.u.
* magnetic moment: 0.00 μB per formula unit

Lattice parameters (Å, degrees): 5.444 5.444 9.246 72.88 72.88 60.00
Atoms (fractional coordinates):
Zn 0.418 0.418 0.239
Zn 0.076 0.582 0.761
Sc 0.000 0.000 0.000
Zn 0.418 0.924 0.239
Zn 0.924 0.418 0.239
Zn 0.500 0.500 0.500
Zn 0.666 0.666 0.003
Nd 0.861 0.861 0.417
Zn 0.582 0.076 0.761
Zn 0.334 0.334 0.997
Zn 0.582 0.582 0.761
Nd 0.139 0.139 0.583

No. 3
The following is a PBE calculation of crystalline Nd2ScZn at its relaxed geometry, from Alexandria via LeMat-Bulk.

Computed properties:
* DOS(E_F): 5.79 states/eV per cell
* energy above the most stable polymorph in this dataset: 0 meV/atom
* space group: P4/mmm
* density: 6.0 g cm⁻³
* final energy: -17.6 eV for the cell shown
* formation energy: -0.44 eV/f.u.
* magnetic moment: 0.00 μB per formula unit

Lattice parameters (Å, degrees): 3.650 3.650 8.268 90.00 90.00 90.00
Atoms (fractional coordinates):
Nd 0.000 0.000 0.224
Sc 0.500 0.500 0.500
Nd 0.000 0.000 0.776
Zn 0.500 0.500 0.000

No. 4
The following is a PBE calculation of crystalline Nd6ScZn5 at its relaxed geometry, from Alexandria via LeMat-Bulk.

Computed properties:
* DOS(E_F): 13.92 states/eV per cell
* space group: Immm
* density: 6.7 g cm⁻³
* final energy: -44.0 eV for the cell shown
* formation energy: -2.65 eV/f.u.
* magnetic moment: 0.00 μB per formula unit

Lattice parameters (Å, degrees): 5.207 7.490 9.117 114.25 106.59 90.00
Atoms (fractional coordinates):
Zn 0.652 0.152 0.305
Zn 0.000 0.500 0.000
Sc 0.000 0.000 0.000
Zn 0.348 0.848 0.695
Zn 0.667 0.667 0.335
Nd 0.171 0.914 0.343
Nd 0.500 0.732 0.000
Nd 0.829 0.572 0.657
Zn 0.333 0.333 0.665
Nd 0.171 0.428 0.343
Nd 0.829 0.086 0.657
Nd 0.500 0.268 0.000

No. 5
The following is a PBE calculation of crystalline Nd2ScZn at its relaxed geometry, from Alexandria via LeMat-Bulk.

Computed properties:
* DOS(E_F): 5.02 states/eV per cell
* energy above the most stable polymorph in this dataset: 45 meV/atom
* space group: P4/mmm
* density: 6.1 g cm⁻³
* final energy: -17.4 eV for the cell shown
* formation energy: -0.25 eV/f.u.
* magnetic moment: 0.00 μB per formula unit

Lattice parameters (Å, degrees): 3.655 5.442 5.442 90.00 90.00 90.00
Atoms (fractional coordinates):
Nd 0.000 0.500 0.000
Sc 0.500 0.500 0.500
Zn 0.500 0.000 0.000
Nd 0.000 0.000 0.500

No. 6
The following is a PBE calculation of crystalline Nd2ScZn at its relaxed geometry, from Alexandria via LeMat-Bulk.

Computed properties:
* DOS(E_F): 5.91 states/eV per cell
* energy above the most stable polymorph in this dataset: 318 meV/atom
* space group: R-3m
* density: 5.8 g cm⁻³
* final energy: -16.3 eV for the cell shown
* formation energy: 0.84 eV/f.u.
* magnetic moment: 0.01 μB per formula unit

Lattice parameters (Å, degrees): 3.406 3.406 11.568 81.53 81.53 60.00
Atoms (fractional coordinates):
Nd 0.904 0.904 0.288
Nd 0.096 0.096 0.712
Zn 0.500 0.500 0.500
Sc 0.000 0.000 0.000

No. 7
The following is a PBE calculation of crystalline NdSc2Zn3 at its relaxed geometry, from Alexandria via LeMat-Bulk.

Computed properties:
* DOS(E_F): 6.21 states/eV per cell
* space group: P4/mmm
* density: 5.7 g cm⁻³
* final energy: -23.2 eV for the cell shown
* formation energy: -1.98 eV/f.u.
* magnetic moment: 0.00 μB per formula unit

Lattice parameters (Å, degrees): 3.449 3.449 10.464 90.00 90.00 90.00
Atoms (fractional coordinates):
Sc 0.500 0.500 0.844
Sc 0.500 0.500 0.156
Zn 0.000 0.000 0.000
Zn 0.000 0.000 0.302
Nd 0.500 0.500 0.500
Zn 0.000 0.000 0.698

No. 8
The following is a PBE calculation of crystalline Nd2ScZn3 at its relaxed geometry, from Alexandria via LeMat-Bulk.

Computed properties:
* DOS(E_F): 7.32 states/eV per cell
* space group: P4/mmm
* density: 6.4 g cm⁻³
* final energy: -21.5 eV for the cell shown
* formation energy: -1.82 eV/f.u.
* magnetic moment: 0.00 μB per formula unit

Lattice parameters (Å, degrees): 3.513 3.513 11.098 90.00 90.00 90.00
Atoms (fractional coordinates):
Zn 0.000 0.000 0.634
Nd 0.500 0.500 0.820
Zn 0.000 0.000 0.366
Nd 0.500 0.500 0.180
Sc 0.500 0.500 0.500
Zn 0.000 0.000 0.000

No. 9
The following is a PBE calculation of crystalline NdSc2Zn9 at its relaxed geometry, from Alexandria via LeMat-Bulk.

Computed properties:
* DOS(E_F): 7.40 states/eV per cell
* space group: R-3m
* density: 6.5 g cm⁻³
* final energy: -32.8 eV for the cell shown
* formation energy: -3.87 eV/f.u.
* magnetic moment: 0.00 μB per formula unit

Lattice parameters (Å, degrees): 5.345 5.345 9.007 72.74 72.74 60.00
Atoms (fractional coordinates):
Nd 0.000 0.000 0.000
Zn 0.500 0.500 0.500
Zn 0.590 0.078 0.743
Zn 0.922 0.410 0.257
Zn 0.410 0.410 0.257
Zn 0.335 0.335 0.995
Sc 0.144 0.144 0.569
Sc 0.856 0.856 0.431
Zn 0.410 0.922 0.257
Zn 0.665 0.665 0.005
Zn 0.078 0.590 0.743
Zn 0.590 0.590 0.743

No. 10
The following is a PBE calculation of crystalline NdSc2Zn2 at its relaxed geometry, from Alexandria via LeMat-Bulk.

Computed properties:
* DOS(E_F): 11.49 states/eV per cell
* space group: P2_1/m
* density: 5.4 g cm⁻³
* final energy: -42.2 eV for the cell shown
* formation energy: -1.14 eV/f.u.
* magnetic moment: 0.00 μB per formula unit

Lattice parameters (Å, degrees): 3.466 5.043 12.924 90.00 97.71 90.00
Atoms (fractional coordinates):
Zn 0.359 0.250 0.720
Zn 0.641 0.750 0.280
Zn 0.543 0.250 0.086
Sc 0.047 0.750 0.094
Sc 0.233 0.750 0.467
Nd 0.853 0.750 0.710
Zn 0.457 0.750 0.914
Nd 0.147 0.250 0.290
Sc 0.767 0.250 0.533
Sc 0.953 0.250 0.906

No. 11
The following is a PBE calculation of crystalline Nd3ScZn4 at its relaxed geometry, from Alexandria via LeMat-Bulk.

Computed properties:
* DOS(E_F): 9.34 states/eV per cell
* space group: P4/mmm
* density: 6.6 g cm⁻³
* final energy: -28.2 eV for the cell shown
* formation energy: -2.42 eV/f.u.
* magnetic moment: 0.00 μB per formula unit

Lattice parameters (Å, degrees): 3.582 3.582 14.580 90.00 90.00 90.00
Atoms (fractional coordinates):
Sc 0.500 0.500 0.000
Nd 0.500 0.500 0.500
Zn 0.000 0.000 0.900
Zn 0.000 0.000 0.100
Nd 0.500 0.500 0.238
Zn 0.000 0.000 0.629
Nd 0.500 0.500 0.762
Zn 0.000 0.000 0.371

No. 12
The following is a PBE calculation of crystalline NdSc4Zn5 at its relaxed geometry, from Alexandria via LeMat-Bulk.

Computed properties:
* DOS(E_F): 9.56 states/eV per cell
* space group: P4/mmm
* density: 5.4 g cm⁻³
* final energy: -39.9 eV for the cell shown
* formation energy: -3.46 eV/f.u.
* magnetic moment: 0.00 μB per formula unit

Lattice parameters (Å, degrees): 3.401 3.401 17.244 90.00 90.00 90.00
Atoms (fractional coordinates):
Sc 0.000 0.000 0.787
Zn 0.500 0.500 0.692
Zn 0.500 0.500 0.308
Nd 0.000 0.000 0.000
Zn 0.500 0.500 0.122
Zn 0.500 0.500 0.878
Sc 0.000 0.000 0.595
Zn 0.500 0.500 0.500
Sc 0.000 0.000 0.213
Sc 0.000 0.000 0.405

Q: Among the records above, which one has the highest final energy?
A: number 6